[1]
## NaZrCd2Fe (meta-GGA SCAN)

Data for NaZrCd2Fe at its PBEsol-relaxed geometry.

Geometry as extended XYZ:
```
5
Lattice="5.378 0.000 0.000 0.000 5.378 0.000 0.000 0.000 5.501" Properties=species:S:1:pos:R:3 pbc="T T T"
Na 0.000 0.000 0.000
Zr 0.000 0.000 2.751
Cd 0.000 2.689 2.751
Cd 2.689 0.000 2.751
Fe 2.689 2.689 0.000
```

Computed properties:
Final energy in eV per atom: -21.226
Formation energy in eV per formula unit: 7.7
Space-group type: No. 123
Total moment in μB per formula unit: 0.881

[2]
## AlInAg2 (meta-GGA SCAN)

Data for AlInAg2 at its PBEsol-relaxed geometry.

Geometry as extended XYZ:
```
4
Lattice="2.971 0.000 0.000 0.000 2.971 0.000 0.000 0.000 8.131" Properties=species:S:1:pos:R:3 pbc="T T T"
Al 0.000 0.000 0.000
In 0.000 0.000 4.066
Ag 1.485 1.485 1.796
Ag 1.485 1.485 6.336
```

Computed properties:
Final energy in eV per atom: -25.984
Formation energy in eV per formula unit: -0.1
Space-group type: No. 123
Total moment in μB per formula unit: 0.000

[3]
## YPAuO2 (meta-GGA SCAN)

Data for YPAuO2 at its PBEsol-relaxed geometry.

Geometry as extended XYZ:
```
5
Lattice="4.038 0.000 0.000 0.000 4.038 0.000 0.000 0.000 6.031" Properties=species:S:1:pos:R:3 pbc="T T T"
Y 0.000 0.000 0.000
P 0.000 0.000 3.016
Au 2.019 2.019 3.016
O 0.000 2.019 0.000
O 2.019 0.000 0.000
```

Computed properties:
E_form (uncorrected) in eV/f.u.: -3.305
Final energy in eV per atom: -24.633
Space-group type: No. 123
Total moment in μB per formula unit: 1.962

[4]
## YPtAu2 (meta-GGA SCAN)

Data for YPtAu2 at its PBEsol-relaxed geometry.

Geometry as extended XYZ:
```
4
Lattice="-2.033 2.033 4.391 2.033 -2.033 4.391 2.033 2.033 -4.391" Properties=species:S:1:pos:R:3 pbc="T T T"
Y 0.000 0.000 0.000
Pt 0.000 0.000 4.391
Au 2.033 0.000 2.196
Au 0.000 2.033 2.196
```

Computed properties:
Final energy in eV per atom: -59.983
Formation energy in eV per formula unit: -3.6
ΔE to the lowest computed polymorph in eV per atom: 0.0000
Space-group type: No. 139
Total moment in μB per formula unit: 0.000

[5]
## MnCuW2 (meta-GGA SCAN)

Data for MnCuW2 at its PBEsol-relaxed geometry.

Geometry as extended XYZ:
```
4
Lattice="-1.524 2.103 4.198 1.524 -2.103 4.198 1.524 2.103 -4.198" Properties=species:S:1:pos:R:3 pbc="T T T"
Mn 0.000 0.000 0.000
Cu 0.000 2.103 2.145
W 1.524 0.000 1.936
W 0.000 0.000 4.096
```

Computed properties:
Final energy in eV per atom: -42.848
Formation energy in eV per formula unit: 1.4
ΔE to the lowest computed polymorph in eV per atom: 0.1102
Space-group type: No. 44
Total moment in μB per formula unit: 0.000

[6]
## SnPO4 (meta-GGA SCAN)

Data for SnPO4 at its PBEsol-relaxed geometry.

Geometry as extended XYZ:
```
48
Lattice="7.916 0.000 0.000 0.000 18.097 0.000 0.000 0.000 4.816" Properties=species:S:1:pos:R:3 pbc="T T T"
Sn 0.415 4.111 0.000
Sn 1.464 8.255 4.440
Sn 2.494 17.304 2.032
Sn 3.544 13.160 2.408
Sn 4.373 4.937 0.000
Sn 5.422 0.793 4.440
Sn 6.453 9.842 2.032
Sn 7.502 13.986 2.408
P 1.847 10.195 1.775
P 1.885 15.234 4.285
P 2.073 6.185 1.878
P 2.111 1.147 4.183
P 5.806 16.951 1.775
P 5.843 11.912 4.285
P 6.031 2.863 1.878
P 6.069 7.902 4.183
O 0.406 9.881 1.176
O 0.510 15.470 3.645
O 0.976 7.049 1.150
O 1.225 0.226 3.299
O 1.633 4.716 1.785
O 1.788 2.622 4.103
O 1.825 15.693 0.970
O 1.906 9.778 3.252
O 2.053 0.729 0.845
O 2.133 6.645 3.378
O 2.170 11.671 1.695
O 2.325 13.765 4.193
O 2.733 9.275 0.892
O 2.982 16.098 3.558
O 3.449 6.421 1.238
O 3.552 0.832 3.584
O 4.364 17.265 1.176
O 4.468 11.676 3.645
O 4.935 1.999 1.150
O 5.183 8.822 3.299
O 5.591 4.332 1.785
O 5.746 6.426 4.103
O 5.783 11.453 0.970
O 5.864 17.368 3.252
O 6.011 8.319 0.845
O 6.091 2.404 3.378
O 6.129 15.475 1.695
O 6.283 13.381 4.193
O 6.691 17.871 0.892
O 6.940 11.048 3.558
O 7.407 2.627 1.238
O 7.510 8.217 3.584
```

Computed properties:
E_form (uncorrected) in eV/f.u.: -12.412
Final energy in eV per atom: -13.943
Space-group type: No. 33
Total moment in μB per formula unit: 0.000

[7]
## LaAlIn (meta-GGA SCAN)

Data for LaAlIn at its PBEsol-relaxed geometry.

Geometry as extended XYZ:
```
3
Lattice="-1.771 1.771 5.963 1.771 -1.771 5.963 1.771 1.771 -5.963" Properties=species:S:1:pos:R:3 pbc="T T T"
La 0.000 0.000 0.000
Al 0.000 0.000 3.838
In 0.000 0.000 8.300
```

Computed properties:
Final energy in eV per atom: -28.442
Formation energy in eV per formula unit: -1.1
Space-group type: No. 107
Total moment in μB per formula unit: 0.272

[8]
## BeHg4 (meta-GGA SCAN)

Data for BeHg4 at its PBEsol-relaxed geometry.

Geometry as extended XYZ:
```
5
Lattice="-2.992 2.992 2.992 2.992 -2.992 2.992 2.992 2.992 -2.992" Properties=species:S:1:pos:R:3 pbc="T T T"
Be 0.000 0.000 0.000
Hg 1.496 1.496 -1.496
Hg 1.496 -1.496 1.496
Hg -1.496 1.496 1.496
Hg 1.496 1.496 1.496
```

Computed properties:
Final energy in eV per atom: -55.309
Formation energy in eV per formula unit: 0.5
Space-group type: No. 229
Total moment in μB per formula unit: 0.000

[9]
## K4P (meta-GGA SCAN)

Data for K4P at its PBEsol-relaxed geometry.

Geometry as extended XYZ:
```
5
Lattice="-2.417 2.417 10.692 2.417 -2.417 10.692 2.417 2.417 -10.692" Properties=species:S:1:pos:R:3 pbc="T T T"
K 0.000 0.000 1.539
K 2.417 0.000 5.346
K 0.000 2.417 5.346
K 0.000 0.000 19.845
P 0.000 0.000 10.692
```

Computed properties:
Final energy in eV per atom: -8.407
Formation energy in eV per formula unit: 1.7
ΔE to the lowest computed polymorph in eV per atom: 0.4894
Space-group type: No. 139
Total moment in μB per formula unit: 0.988

[10]
## YFe2Br (meta-GGA SCAN)

Data for YFe2Br at its PBEsol-relaxed geometry.

Geometry as extended XYZ:
```
4
Lattice="3.431 0.000 0.000 0.000 4.261 0.000 0.000 0.000 4.958" Properties=species:S:1:pos:R:3 pbc="T T T"
Y 0.000 0.000 0.000
Fe 1.715 2.131 1.108
Fe 1.715 2.131 3.850
Br 1.715 0.000 2.479
```

Computed properties:
E_form (uncorrected) in eV/f.u.: 0.422
Final energy in eV per atom: -20.785
ΔE to the lowest computed polymorph in eV per atom: 0.0000
Space-group type: No. 47
Total moment in μB per formula unit: 4.316

[11]
## LiTc2 (meta-GGA SCAN)

Data for LiTc2 at its PBEsol-relaxed geometry.

Geometry as extended XYZ:
```
3
Lattice="4.269 0.000 0.000 -2.134 3.697 0.000 0.000 0.000 2.519" Properties=species:S:1:pos:R:3 pbc="T T T"
Li 0.000 0.000 0.000
Tc 0.000 2.465 1.577
Tc 2.134 1.232 0.942
```

Computed properties:
Final energy in eV per atom: -24.136
Formation energy in eV per formula unit: 0.1
ΔE to the lowest computed polymorph in eV per atom: 0.0000
Space-group type: No. 164
Total moment in μB per formula unit: 0.000

[12]
## Ta3Al4O14 (meta-GGA SCAN)

Data for Ta3Al4O14 at its PBEsol-relaxed geometry.

Geometry as extended XYZ:
```
21
Lattice="7.384 0.000 0.000 -3.692 6.395 0.000 0.000 0.000 4.558" Properties=species:S:1:pos:R:3 pbc="T T T"
Ta -0.617 2.493 0.000
Ta -1.225 5.682 0.000
Ta 1.841 4.614 0.000
Al 0.000 0.000 2.245
Al 2.042 1.930 2.273
Al 4.692 0.804 2.273
Al 4.342 3.661 2.273
O -2.654 5.175 1.245
O -1.636 3.933 3.519
O 0.538 1.509 1.245
O 1.529 0.379 3.301
O 0.000 4.263 0.854
O 1.105 3.012 3.519
O 3.142 0.612 1.223
O 0.532 5.846 3.519
O 2.651 3.368 1.223
O 3.692 2.132 3.095
O 2.116 6.106 1.245
O 3.256 4.882 3.301
O 5.284 2.415 1.223
O 6.292 1.135 3.301
```

Computed properties:
E_form (uncorrected) in eV/f.u.: -64.731
Final energy in eV per atom: -18.225
Space-group type: No. 143
Total moment in μB per formula unit: 1.091

[13]
## InCoH3 (meta-GGA SCAN)

Data for InCoH3 at its PBEsol-relaxed geometry.

Geometry as extended XYZ:
```
5
Lattice="3.420 0.000 0.000 0.000 3.420 0.000 0.000 0.000 3.420" Properties=species:S:1:pos:R:3 pbc="T T T"
In 0.000 0.000 0.000
Co 1.710 1.710 1.710
H 0.000 1.710 1.710
H 1.710 0.000 1.710
H 1.710 1.710 0.000
```

Computed properties:
Final energy in eV per atom: -11.859
Space-group type: No. 221
Total moment in μB per formula unit: 0.003

[14]
## PrAs12Ru4 (meta-GGA SCAN)

Data for PrAs12Ru4 at its PBEsol-relaxed geometry.

Geometry as extended XYZ:
```
17
Lattice="-4.247 4.247 4.247 4.247 -4.247 4.247 4.247 4.247 -4.247" Properties=species:S:1:pos:R:3 pbc="T T T"
Pr 0.000 0.000 0.000
As 2.967 0.000 1.281
As 5.527 0.000 1.281
As 4.247 2.965 -1.280
As 1.281 2.967 0.000
As 2.965 -1.280 4.247
As 0.000 1.281 2.967
As 4.247 2.965 1.280
As 1.281 5.527 0.000
As 2.965 1.280 4.247
As 0.000 1.281 5.527
As -1.280 4.247 2.965
As 1.280 4.247 2.965
Ru 2.123 2.123 -2.123
Ru 2.123 -2.123 2.123
Ru -2.123 2.123 2.123
Ru 2.123 2.123 2.123
```

Computed properties:
Final energy in eV per atom: -25.560
Formation energy in eV per formula unit: -9.6
Space-group type: No. 204
Total moment in μB per formula unit: 0.000

[15]
## GdCo4B (meta-GGA SCAN)

Data for GdCo4B at its PBEsol-relaxed geometry.

Geometry as extended XYZ:
```
12
Lattice="4.942 0.000 0.000 -2.471 4.280 0.000 0.000 0.000 6.744" Properties=species:S:1:pos:R:3 pbc="T T T"
Gd 0.000 0.000 0.000
Gd 0.000 0.000 3.372
Co -1.236 2.140 1.440
Co -1.236 2.140 5.304
Co 0.000 2.853 3.372
Co 2.471 0.000 1.440
Co 2.471 0.000 5.304
Co 1.236 2.140 1.440
Co 1.236 2.140 5.304
Co 2.471 1.427 3.372
B 0.000 2.853 0.000
B 2.471 1.427 0.000
```

Computed properties:
Final energy in eV per atom: -22.774
Formation energy in eV per formula unit: -1.2
Space-group type: No. 191
Total moment in μB per formula unit: 2.759

[16]
## ZrIr3Se (meta-GGA SCAN)

Data for ZrIr3Se at its PBEsol-relaxed geometry.

Geometry as extended XYZ:
```
5
Lattice="4.789 0.000 0.000 0.000 4.789 0.000 0.000 0.000 4.789" Properties=species:S:1:pos:R:3 pbc="T T T"
Zr 0.000 0.000 0.000
Ir 0.000 0.000 2.394
Ir 0.000 2.394 0.000
Ir 2.394 0.000 0.000
Se 2.394 2.394 2.394
```

Computed properties:
E_form (uncorrected) in eV/f.u.: 9.925
Final energy in eV per atom: -50.830
Space-group type: No. 221
Total moment in μB per formula unit: 1.205

[17]
## CaAu2Br (meta-GGA SCAN)

Data for CaAu2Br at its PBEsol-relaxed geometry.

Geometry as extended XYZ:
```
4
Lattice="2.778 -2.813 0.000 2.778 2.813 0.000 0.000 0.000 5.687" Properties=species:S:1:pos:R:3 pbc="T T T"
Ca 0.000 0.000 0.000
Au 2.778 1.427 2.843
Au 2.778 -1.427 2.843
Br 2.778 0.000 0.000
```

Computed properties:
E_form (uncorrected) in eV/f.u.: -3.346
Final energy in eV per atom: -42.696
ΔE to the lowest computed polymorph in eV per atom: 0.0000
Space-group type: No. 65
Total moment in μB per formula unit: 0.000

[18]
## CaPd3W (meta-GGA SCAN)

Data for CaPd3W at its PBEsol-relaxed geometry.

Geometry as extended XYZ:
```
5
Lattice="4.808 0.000 0.000 0.000 4.808 0.000 0.000 0.000 4.808" Properties=species:S:1:pos:R:3 pbc="T T T"
Ca 0.000 0.000 0.000
Pd 0.000 2.404 2.404
Pd 2.404 0.000 2.404
Pd 2.404 2.404 0.000
W 2.404 2.404 2.404
```

Computed properties:
Final energy in eV per atom: -35.066
Formation energy in eV per formula unit: 2.3
Space-group type: No. 221
Total moment in μB per formula unit: 0.000

[19]
## SrLi2Tl (meta-GGA SCAN)

Data for SrLi2Tl at its PBEsol-relaxed geometry.

Geometry as extended XYZ:
```
4
Lattice="3.730 0.000 0.000 0.000 3.730 0.000 0.000 0.000 7.766" Properties=species:S:1:pos:R:3 pbc="T T T"
Sr 0.000 0.000 0.000
Li 0.000 0.000 3.636
Li 1.865 1.865 5.125
Tl 1.865 1.865 2.221
```

Computed properties:
Final energy in eV per atom: -25.098
Formation energy in eV per formula unit: -1.0
Space-group type: No. 99
Total moment in μB per formula unit: 0.113

[20]
## Hf2BPdPt (meta-GGA SCAN)

Data for Hf2BPdPt at its PBEsol-relaxed geometry.

Geometry as extended XYZ:
```
5
Lattice="5.042 0.000 0.000 0.000 5.042 0.000 0.000 0.000 3.877" Properties=species:S:1:pos:R:3 pbc="T T T"
Hf 0.000 2.521 0.000
Hf 2.521 0.000 0.000
B 0.000 0.000 1.938
Pd 2.521 2.521 1.938
Pt 0.000 0.000 0.000
```

Computed properties:
Final energy in eV per atom: -46.999
Formation energy in eV per formula unit: 0.7
Space-group type: No. 123
Total moment in μB per formula unit: 0.000